Record 1
DFT (PBE-GGA) results for an optimized crystal structure of NbTeIrI2.

Unit cell a=5.505 b=5.505 c=5.400 alpha=90.00 beta=90.00 gamma=90.00
Space group P4/mmm (No. 123)
Asymmetric unit:
Nb  0.000  0.000  0.000 [1 per cell]
Te  0.000  0.000  0.500 [1 per cell]
Ir  0.500  0.500  0.500 [1 per cell]
I  0.000  0.500  0.000 [2 per cell]

Summary:
V	163.7	Å³/cell
D(E_F)	2.023	states/eV/atom
energy relative to the lowest polymorph listed for this composition	214	meV per atom
formation energy without anion corrections	1.21	eV per atom
size of the total moment	2.471	μB per formula unit



Record 2
DFT (PBE-GGA) results for an optimized crystal structure of CsHg3W.

Unit cell a=6.843 b=6.843 c=6.843 alpha=90.00 beta=90.00 gamma=90.00
Space group Pm-3m (No. 221)
Asymmetric unit:
Cs  0.000  0.000  0.000 [1 per cell]
Hg  0.000  0.000  0.500 [3 per cell]
W  0.500  0.500  0.500 [1 per cell]

Summary:
V	320.5	Å³/cell
D(E_F)	0.053	states/eV/atom
energy relative to the lowest polymorph listed for this composition	1031	meV per atom
size of the total moment	5.013	μB per formula unit



Record 3
DFT (PBE-GGA) results for an optimized crystal structure of PmGd2Te.

Unit cell a=4.816 b=4.816 c=4.935 alpha=90.00 beta=90.00 gamma=90.00
Space group P4/mmm (No. 123)
Asymmetric unit:
Pm  0.000  0.000  0.000 [1 per cell]
Gd  0.000  0.500  0.500 [2 per cell]
Te  0.500  0.500  0.000 [1 per cell]

Summary:
V	114.5	Å³/cell
D(E_F)	1.256	states/eV/atom
energy relative to the lowest polymorph listed for this composition	93	meV per atom
formation energy without anion corrections	-0.50	eV per atom
size of the total moment	14.933	μB per formula unit



Record 4
DFT (PBE-GGA) results for an optimized crystal structure of Ac3Pd8Pt.

Unit cell a=5.5873 b=5.5873 c=27.4452 alpha=90.00 beta=90.00 gamma=120.00
Space group R3m (No. 160, hexagonal axes)
Asymmetric unit:
Ac  0.0000  0.0000  0.0000 [3 per cell]
Ac  0.0000  0.0000  0.1327 [3 per cell]
Ac  0.0000  0.0000  0.6018 [3 per cell]
Pd  0.0000  0.0000  0.3099 [3 per cell]
Pd  0.0000  0.0000  0.8106 [3 per cell]
Pd  0.0000  0.5000  0.0601 [9 per cell]
Pd  0.0039  0.5019  0.5604 [9 per cell]
Pt  0.0000  0.0000  0.4823 [3 per cell]

Summary:
V	742.0	Å³/cell
D(E_F)	0.739	states/eV/atom
VASP energy	-5.676	eV per atom
size of the total moment	0.000	μB per formula unit



Record 5
DFT (PBE-GGA) results for an optimized crystal structure of Ba2CuN.

Unit cell a=4.0441 b=4.0441 c=27.4162 alpha=90.00 beta=90.00 gamma=120.00
Space group R-3m (No. 166, hexagonal axes)
Asymmetric unit:
Ba  0.0000  0.0000  0.1120 [6 per cell]
Cu  0.0000  0.0000  0.0000 [3 per cell]
N  0.0000  0.0000  0.5000 [3 per cell]

Summary:
V	388.3	Å³/cell
D(E_F)	0.112	states/eV/atom
formation energy without anion corrections	0.08	eV per atom
size of the total moment	0.000	μB per formula unit



Record 6
DFT (PBE-GGA) results for an optimized crystal structure of PaAlGe2.

Unit cell a=4.4204 b=4.4204 c=14.0437 alpha=90.00 beta=90.00 gamma=120.00
Space group R-3m (No. 166, hexagonal axes)
Asymmetric unit:
Pa  0.0000  0.0000  0.0000 [3 per cell]
Al  0.0000  0.0000  0.5000 [3 per cell]
Ge  0.0000  0.0000  0.2268 [6 per cell]

Summary:
V	237.6	Å³/cell
D(E_F)	0.661	states/eV/atom
energy relative to the lowest polymorph listed for this composition	196	meV per atom
size of the total moment	0.000	μB per formula unit



Record 7
DFT (PBE-GGA) results for an optimized crystal structure of Sr2YAs.

Unit cell a=4.673 b=4.673 c=11.722 alpha=90.00 beta=90.00 gamma=90.00
Space group I4/mmm (No. 139)
Asymmetric unit:
Sr  0.000  0.500  0.250 [4 per cell]
Y  0.000  0.000  0.000 [2 per cell]
As  0.000  0.000  0.500 [2 per cell]

Summary:
V	255.9	Å³/cell
D(E_F)	0.682	states/eV/atom
VASP energy	-3.851	eV per atom
size of the total moment	0.000	μB per formula unit



Record 8
DFT (PBE-GGA) results for an optimized crystal structure of YMg2PtN.

Unit cell a=6.369 b=6.369 c=5.108 alpha=90.00 beta=90.00 gamma=90.00
Space group P4/mmm (No. 123)
Asymmetric unit:
Y  0.000  0.000  0.000 [1 per cell]
Mg  0.000  0.500  0.000 [2 per cell]
Pt  0.000  0.000  0.500 [1 per cell]
N  0.500  0.500  0.500 [1 per cell]

Summary:
V	207.2	Å³/cell
D(E_F)	0.935	states/eV/atom
energy relative to the lowest polymorph listed for this composition	2522	meV per atom
formation energy without anion corrections	1.67	eV per atom
size of the total moment	2.348	μB per formula unit



Question: The lowest D(E_F) belongs to which entry?
Answer: CsHg3W